A plane-wave DFT calculation with GGA-PBEsol was carried out for SbI2NF after structural relaxation.

Unit cell a=4.8836 b=4.8836 c=4.6006 alpha=90.00 beta=90.00 gamma=90.00
Closest atoms and distances in Å follow each position.
Space group P4/mmm (No. 123)
One atom of each set of equivalent atoms:
Sb  0.0000  0.0000  0.0000 [1 per cell]  2 N 2.30
I  0.0000  0.5000  0.5000 [2 per cell]  2 N 2.44
N  0.0000  0.0000  0.5000 [1 per cell]  2 Sb 2.30, 4 I 2.44
F  0.5000  0.5000  0.0000 [1 per cell]  8 I 3.35, 4 Sb 3.45

Raw formation energy   462.7 meV per atom
Total magnetization   0.00 μB per cell
Uncorrected energy   -16.23 eV/cell